Record 1
Material: SrLi4Au3F12
Method: DFT, PBE
State: relaxed

ΔE_f (raw) = -208.17 kJ per mole of atoms
spin magnetization = 3.00 μB/cell
V = 244 Å³/cell
SG = Im-3

Cell: 6.8176 6.8176 6.8176 Å, 109.47 109.47 109.47°
Closest atoms and distances in Å follow each position.
Sites, in units of the cell vectors:
1 F 0.1774 0.8858 0.7084  2 Li 2.08, 1 Au 2.15
2 F 0.1774 0.4691 0.2916  2 Li 2.08, 1 Au 2.15
3 F 0.8226 0.1142 0.2916  2 Li 2.08, 1 Au 2.15
4 F 0.1142 0.2916 0.8226  2 Li 2.08, 1 Au 2.15
5 F 0.4691 0.2916 0.1774  2 Li 2.08, 1 Au 2.15
6 F 0.8858 0.7084 0.1774  2 Li 2.08, 1 Au 2.15
7 F 0.7084 0.8226 0.5309  2 Li 2.08, 1 Au 2.15
8 F 0.8226 0.5309 0.7084  2 Li 2.08, 1 Au 2.15
9 F 0.2916 0.8226 0.1142  2 Li 2.08, 1 Au 2.15
10 F 0.7084 0.1774 0.8858  2 Li 2.08, 1 Au 2.15
11 F 0.2916 0.1774 0.4691  2 Li 2.08, 1 Au 2.15
12 F 0.5309 0.7084 0.8226  2 Li 2.08, 1 Au 2.15
13 Li 0.0000 0.0000 0.5000  6 F 2.08
14 Li 0.0000 0.5000 0.0000  6 F 2.08
15 Li 0.5000 0.0000 0.0000  6 F 2.08
16 Li 0.5000 0.5000 0.5000  6 F 2.08
17 Au 0.0000 0.5000 0.5000  4 F 2.15
18 Au 0.5000 0.5000 0.0000  4 F 2.15
19 Au 0.5000 0.0000 0.5000  4 F 2.15
20 Sr 0.0000 0.0000 0.0000  12 F 2.69

---

Record 2
Material: Li2TaAuF
Method: DFT, PBE
State: relaxed

ΔE_f (raw) = 78.31 kJ per mole of atoms
spin magnetization = 3.88 μB/cell
V = 161 Å³/cell
SG = P4/mmm

Cell: 5.6414 5.0578 5.6414 Å, 90.00 90.00 90.00°
Closest atoms and distances in Å follow each position.
Sites, in units of the cell vectors:
1 Li 0.0000 0.0000 0.5000  2 Ta 2.82
2 Li 0.5000 0.0000 0.0000  2 Ta 2.82
3 Ta 0.0000 0.0000 0.0000  2 Au 2.53, 4 Li 2.82
4 F 0.5000 0.5000 0.5000  8 Li 3.79, 4 Au 3.99
5 Au 0.0000 0.5000 0.0000  2 Ta 2.53

---

Record 3
Material: LiTcAu2F
Method: DFT, PBE
State: relaxed

ΔE_f (raw) = 38.45 kJ per mole of atoms
spin magnetization = 3.48 μB/cell
V = 102 Å³/cell
SG = P4/mmm

Cell: 5.0777 3.9483 5.0777 Å, 90.00 90.00 90.00°
Closest atoms and distances in Å follow each position.
Sites, in units of the cell vectors:
1 Au 0.0000 0.0000 0.5000  2 F 2.54
2 Au 0.5000 0.0000 0.0000  2 F 2.54
3 Li 0.5000 0.5000 0.5000  8 Au 3.22, 4 Tc 3.59
4 Tc 0.0000 0.5000 0.0000  2 F 1.97
5 F 0.0000 0.0000 0.0000  2 Tc 1.97

---

Q: The highest ΔE_f (raw) belongs to which entry?
A: Li2TaAuF

---

Q: Among the records above, which one has the highest ΔE_f (raw)?
A: Li2TaAuF

---

Q: What is the spin magnetization in the third record?
A: 3.48 μB/cell

---

Q: Among the records above, which one has the lowest V?
A: LiTcAu2F